(1)
DFT (PBE-GGA) results for an optimized crystal structure of SrCa2SeCl.

Cell: 5.548 5.548 6.550 Å, 90.00 90.00 90.00°
Positions (direct):
Sr: 0.000 0.000 0.000
Ca: 0.000 0.500 0.500
Ca: 0.500 0.000 0.500
Se: 0.000 0.000 0.500
Cl: 0.500 0.500 0.000

SG: P4/mmm, No. 123
M_tot (μB per atom): 0.1378
V (Å³/f.u.): 201.65
Formation energy from raw total energies (kJ/mol of atoms): -81.2

***

(2)
DFT (PBE-GGA) results for an optimized crystal structure of OsF3.

Cell: 3.774 3.774 14.371 Å, 90.00 90.00 90.00°
Positions (direct):
Os: 0.000 0.000 0.000
Os: 0.000 0.500 0.250
Os: 0.500 0.000 0.750
Os: 0.500 0.500 0.500
F: 0.000 0.000 0.500
F: 0.000 0.500 0.750
F: 0.174 0.250 0.125
F: 0.250 0.674 0.375
F: 0.250 0.826 0.875
F: 0.326 0.250 0.625
F: 0.500 0.000 0.250
F: 0.500 0.500 0.000
F: 0.674 0.750 0.625
F: 0.750 0.174 0.875
F: 0.750 0.326 0.375
F: 0.826 0.750 0.125

SG: I-42d, No. 122
M_tot (μB per atom): 1.0718
V (Å³/f.u.): 51.17
Formation energy from raw total energies (kJ/mol of atoms): -28.2

***

(3)
DFT (PBE-GGA) results for an optimized crystal structure of IrAuBr2.

Cell: 6.847 6.847 6.847 Å, 90.00 90.00 90.00°
Positions (direct):
Ir: 0.000 0.000 0.000
Ir: 0.000 0.500 0.500
Ir: 0.500 0.000 0.500
Ir: 0.500 0.500 0.000
Au: 0.000 0.000 0.500
Au: 0.000 0.500 0.000
Au: 0.500 0.000 0.000
Au: 0.500 0.500 0.500
Br: 0.250 0.250 0.250
Br: 0.250 0.250 0.750
Br: 0.250 0.750 0.250
Br: 0.250 0.750 0.750
Br: 0.750 0.250 0.250
Br: 0.750 0.250 0.750
Br: 0.750 0.750 0.250
Br: 0.750 0.750 0.750

SG: Fm-3m, No. 225
M_tot (μB per atom): 0.4252
V (Å³/f.u.): 80.26
Energy relative to the lowest polymorph listed for this composition (kJ/mol of atoms): 90.3
Formation energy from raw total energies (kJ/mol of atoms): 101.1

***

(4)
DFT (PBE-GGA) results for an optimized crystal structure of Li2TlSeO6.

Cell: 7.117 7.117 6.162 Å, 103.36 103.36 94.83°
Positions (direct):
Li: 0.065 0.273 0.112
Li: 0.273 0.065 0.612
Li: 0.727 0.935 0.388
Li: 0.935 0.727 0.888
Tl: 0.397 0.603 0.750
Tl: 0.603 0.397 0.250
Se: 0.296 0.704 0.250
Se: 0.704 0.296 0.750
O: 0.068 0.081 0.794
O: 0.081 0.068 0.294
O: 0.169 0.593 0.921
O: 0.292 0.471 0.311
O: 0.407 0.831 0.579
O: 0.471 0.292 0.811
O: 0.529 0.708 0.189
O: 0.593 0.169 0.421
O: 0.708 0.529 0.689
O: 0.831 0.407 0.079
O: 0.919 0.932 0.706
O: 0.932 0.919 0.206

SG: C2/c, No. 15
M_tot (μB per atom): 0.1001
V (Å³/f.u.): 146.16
Formation energy from raw total energies (kJ/mol of atoms): -89.5

***

(5)
DFT (PBE-GGA) results for an optimized crystal structure of KLaTe.

Cell: 7.746 7.746 7.746 Å, 90.00 90.00 90.00°
Positions (direct):
K: 0.000 0.000 0.000
K: 0.000 0.500 0.500
K: 0.500 0.000 0.500
K: 0.500 0.500 0.000
La: 0.000 0.000 0.500
La: 0.000 0.500 0.000
La: 0.500 0.000 0.000
La: 0.500 0.500 0.500
Te: 0.250 0.250 0.750
Te: 0.250 0.750 0.250
Te: 0.750 0.250 0.250
Te: 0.750 0.750 0.750

SG: F-43m, No. 216
M_tot (μB per atom): 0.0054
V (Å³/f.u.): 116.18
Energy relative to the lowest polymorph listed for this composition (kJ/mol of atoms): 31.6
Formation energy from raw total energies (kJ/mol of atoms): -54.9

***

(6)
DFT (PBE-GGA) results for an optimized crystal structure of Tm3PbNO.

Cell: 7.791 3.640 9.272 Å, 90.00 112.76 90.00°
Positions (direct):
Tm: 0.033 0.250 0.374
Tm: 0.295 0.250 0.932
Tm: 0.391 0.750 0.646
Tm: 0.609 0.250 0.354
Tm: 0.705 0.750 0.068
Tm: 0.967 0.750 0.626
Pb: 0.223 0.750 0.209
Pb: 0.777 0.250 0.791
N: 0.184 0.250 0.636
N: 0.816 0.750 0.364
O: 0.413 0.750 0.888
O: 0.587 0.250 0.112

SG: P2_1/m, No. 11
M_tot (μB per atom): 0.0002
V (Å³/f.u.): 121.23
Formation energy from raw total energies (kJ/mol of atoms): -163.3